(1)
The following is a PBE calculation of a relaxed structure of LaHfNb2, from Alexandria.

Unit cell a=4.9968 b=4.9968 c=4.9968 alpha=60.00 beta=60.00 gamma=60.00
Element x y z (fractional)
La1 0.0000 0.0000 0.0000
Hf1 0.5000 0.5000 0.5000
Nb1 0.2500 0.2500 0.2500
Nb2 0.7500 0.7500 0.7500

Calculated values
The calculation puts the uncorrected energy at -33.380 eV/f.u. Its polymorph energy (0 for the lowest one) is 0 meV/atom. As for the space-group type: No. 225.



(2)
The following is a PBE calculation of a relaxed structure of La2HfNb2, from Alexandria.

Unit cell a=7.3133 b=7.3133 c=4.9654 alpha=90.00 beta=90.00 gamma=90.00
Element x y z (fractional)
La1 0.1779 0.3221 0.0000
La2 0.3221 0.8221 0.0000
La3 0.6779 0.1779 0.0000
La4 0.8221 0.6779 0.0000
Hf1 0.0000 0.0000 0.5000
Hf2 0.5000 0.5000 0.5000
Nb1 0.1293 0.6293 0.5000
Nb2 0.3707 0.1293 0.5000
Nb3 0.6293 0.8707 0.5000
Nb4 0.8707 0.3707 0.5000

Calculated values
The calculation puts the uncorrected energy at -37.614 eV/f.u. As for the space-group type: No. 127.



The records above give, respectively, formation energy values of 0.41 0.47 eV per atom.
The records above give, respectively, N(E_F) values of 9.01 6.55 states/eV/f.u..